# HoTlPd, relaxed, DFT PBE
# Space-group type: P-62m
# Calculated volume, Å³/cell: 200.8
# Formation energy, eV per atom: -0.6481
data_HoTlPd
_cell_length_a 7.878
_cell_length_b 7.878
_cell_length_c 3.736
_cell_angle_alpha 90.00
_cell_angle_beta 90.00
_cell_angle_gamma 120.00
_symmetry_space_group_name_H-M 'P 1'
_symmetry_Int_Tables_number 1
_symmetry_space_group_name_Hall 'P 1'
loop_
_atom_site_label
_atom_site_type_symbol
_atom_site_fract_x
_atom_site_fract_y
_atom_site_fract_z
Ho1 Ho 0.000 0.599 0.000
Ho2 Ho 0.401 0.401 0.000
Ho3 Ho 0.599 0.000 0.000
Tl1 Tl 0.000 0.269 0.500
Tl2 Tl 0.269 0.000 0.500
Tl3 Tl 0.731 0.731 0.500
Pd1 Pd 0.000 0.000 0.000
Pd2 Pd 0.333 0.667 0.500
Pd3 Pd 0.667 0.333 0.500



# LaCeTh, relaxed, DFT PBE
# Space-group type: I4/mmm
# Calculated volume, Å³/cell: 428.8
# Formation energy, eV per atom: 0.2674
data_LaCeTh
_cell_length_a 4.094
_cell_length_b 4.094
_cell_length_c 25.585
_cell_angle_alpha 90.00
_cell_angle_beta 90.00
_cell_angle_gamma 90.00
_symmetry_space_group_name_H-M 'P 1'
_symmetry_Int_Tables_number 1
_symmetry_space_group_name_Hall 'P 1'
loop_
_atom_site_label
_atom_site_type_symbol
_atom_site_fract_x
_atom_site_fract_y
_atom_site_fract_z
La1 La 0.000 0.000 0.073
La2 La 0.000 0.000 0.927
La3 La 0.500 0.500 0.427
La4 La 0.500 0.500 0.573
Ce1 Ce 0.000 0.000 0.344
Ce2 Ce 0.000 0.000 0.656
Ce3 Ce 0.500 0.500 0.156
Ce4 Ce 0.500 0.500 0.844
Th1 Th 0.000 0.000 0.214
Th2 Th 0.000 0.000 0.786
Th3 Th 0.500 0.500 0.286
Th4 Th 0.500 0.500 0.714



# Li2TbCd3, relaxed, DFT PBE
# Space-group type: P6_3/mmc
# Calculated volume, Å³/cell: 260.4
# Formation energy, eV per atom: -0.2382
data_Li2TbCd3
_cell_length_a 4.741
_cell_length_b 4.741
_cell_length_c 13.377
_cell_angle_alpha 90.00
_cell_angle_beta 90.00
_cell_angle_gamma 120.00
_symmetry_space_group_name_H-M 'P 1'
_symmetry_Int_Tables_number 1
_symmetry_space_group_name_Hall 'P 1'
loop_
_atom_site_label
_atom_site_type_symbol
_atom_site_fract_x
_atom_site_fract_y
_atom_site_fract_z
Li1 Li 0.333 0.667 0.077
Li2 Li 0.333 0.667 0.423
Li3 Li 0.667 0.333 0.577
Li4 Li 0.667 0.333 0.923
Tb1 Tb 0.000 0.000 0.250
Tb2 Tb 0.000 0.000 0.750
Cd1 Cd 0.000 0.000 0.000
Cd2 Cd 0.000 0.000 0.500
Cd3 Cd 0.333 0.667 0.630
Cd4 Cd 0.333 0.667 0.870
Cd5 Cd 0.667 0.333 0.130
Cd6 Cd 0.667 0.333 0.370